No. 1
Below is a relaxed GdPtNO crystal, with properties calculated at the PBE level.

Output
The energy above the most stable polymorph in this dataset is 1.74 eV per formula unit.

CIF file:
```
data_GdPtNO
_chemical_formula_sum 'Gd1 Pt1 N1 O1'
_symmetry_space_group_name_H-M 'P 4/m m m'
_symmetry_Int_Tables_number 123
_symmetry_space_group_name_Hall '-P 4 2'
_cell_length_a 3.445
_cell_length_b 3.445
_cell_length_c 4.499
_cell_angle_alpha 90.00
_cell_angle_beta 90.00
_cell_angle_gamma 90.00
loop_
_atom_site_label
_atom_site_type_symbol
_atom_site_fract_x
_atom_site_fract_y
_atom_site_fract_z
Gd1 Gd 0.000 0.000 0.000
Pt1 Pt 0.500 0.500 0.500
N1 N 0.500 0.500 0.000
O1 O 0.000 0.000 0.500
```



No. 2
Below is a relaxed PbAuClO crystal, with properties calculated at the PBE level.

Output
The value obtained for the calculated total energy is -64.4 eV/cell.

CIF file:
```
data_PbAuClO
_chemical_formula_sum 'Pb4 Au4 Cl4 O4'
_symmetry_space_group_name_H-M 'P n m a'
_symmetry_Int_Tables_number 62
_cell_length_a 6.976
_cell_length_b 5.067
_cell_length_c 10.166
_cell_angle_alpha 90.00
_cell_angle_beta 90.00
_cell_angle_gamma 90.00
loop_
_symmetry_equiv_pos_as_xyz
'x,y,z'
'-x,-y,-z'
'-x+1/2,-y,z+1/2'
'x+1/2,y,-z+1/2'
'x+1/2,-y+1/2,-z+1/2'
'-x+1/2,y+1/2,z+1/2'
'-x,y+1/2,-z'
'x,-y+1/2,z'
loop_
_atom_site_label
_atom_site_type_symbol
_atom_site_fract_x
_atom_site_fract_y
_atom_site_fract_z
Pb1 Pb 0.166 0.250 0.149
Au1 Au 0.182 0.250 0.507
Cl1 Cl 0.028 0.750 0.315
O1 O 0.162 0.750 0.840
```



No. 3
Below is a relaxed PuZnTe crystal, with properties calculated at the PBE level.

Output
The energy above the most stable polymorph in this dataset is 0.36 eV per formula unit.

CIF file:
```
data_PuZnTe
_chemical_formula_sum 'Pu4 Zn4 Te4'
_symmetry_space_group_name_H-M 'F -4 3 m'
_symmetry_Int_Tables_number 216
_symmetry_space_group_name_Hall 'F -4 2 3'
_cell_length_a 6.812
_cell_length_b 6.812
_cell_length_c 6.812
_cell_angle_alpha 90.00
_cell_angle_beta 90.00
_cell_angle_gamma 90.00
loop_
_atom_site_label
_atom_site_type_symbol
_atom_site_fract_x
_atom_site_fract_y
_atom_site_fract_z
Pu1 Pu 0.000 0.000 0.000
Zn1 Zn 0.250 0.250 0.250
Te1 Te 0.000 0.000 0.500
```



No. 4
Below is a relaxed Zr3N4 crystal, with properties calculated at the PBE level.

Output
The value obtained for the calculated total energy is -277.2 eV/cell.

CIF file:
```
data_Zr3N4
_chemical_formula_sum 'Zr12 N16'
_symmetry_space_group_name_H-M 'P n m a'
_symmetry_Int_Tables_number 62
_cell_length_a 9.797
_cell_length_b 3.293
_cell_length_c 10.862
_cell_angle_alpha 90.00
_cell_angle_beta 90.00
_cell_angle_gamma 90.00
loop_
_symmetry_equiv_pos_as_xyz
'x,y,z'
'-x,-y,-z'
'-x+1/2,-y,z+1/2'
'x+1/2,y,-z+1/2'
'x+1/2,-y+1/2,-z+1/2'
'-x+1/2,y+1/2,z+1/2'
'-x,y+1/2,-z'
'x,-y+1/2,z'
loop_
_atom_site_label
_atom_site_type_symbol
_atom_site_fract_x
_atom_site_fract_y
_atom_site_fract_z
Zr1 Zr 0.069 0.250 0.124
Zr2 Zr 0.108 0.250 0.593
Zr3 Zr 0.231 0.250 0.852
N1 N 0.005 0.250 0.774
N2 N 0.103 0.750 0.471
N3 N 0.144 0.750 0.982
N4 N 0.236 0.750 0.714
```



No. 5
Below is a relaxed NaSrPd crystal, with properties calculated at the PBE level.

Output
The energy above the most stable polymorph in this dataset is 1.08 eV per formula unit.

CIF file:
```
data_NaSrPd
_chemical_formula_sum 'Na4 Sr4 Pd4'
_symmetry_space_group_name_H-M 'F -4 3 m'
_symmetry_Int_Tables_number 216
_symmetry_space_group_name_Hall 'F -4 2 3'
_cell_length_a 7.222
_cell_length_b 7.222
_cell_length_c 7.222
_cell_angle_alpha 90.00
_cell_angle_beta 90.00
_cell_angle_gamma 90.00
loop_
_atom_site_label
_atom_site_type_symbol
_atom_site_fract_x
_atom_site_fract_y
_atom_site_fract_z
Na1 Na 0.000 0.000 0.000
Sr1 Sr 0.250 0.250 0.250
Pd1 Pd 0.000 0.000 0.500
```



No. 6
Below is a relaxed SrHfAsO crystal, with properties calculated at the PBE level.

Output
The energy above the most stable polymorph in this dataset is 0.02 eV per formula unit.

CIF file:
```
data_SrHfAsO
_chemical_formula_sum 'Sr2 Hf2 As2 O2'
_symmetry_space_group_name_H-M 'P m c 21'
_symmetry_Int_Tables_number 26
_cell_length_a 4.502
_cell_length_b 7.086
_cell_length_c 6.248
_cell_angle_alpha 90.00
_cell_angle_beta 90.00
_cell_angle_gamma 90.00
loop_
_symmetry_equiv_pos_as_xyz
'x,y,z'
'-x,-y,z+1/2'
'-x,y,z'
'x,-y,z+1/2'
loop_
_atom_site_label
_atom_site_type_symbol
_atom_site_fract_x
_atom_site_fract_y
_atom_site_fract_z
Sr1 Sr 0.000 0.205 0.000
Hf1 Hf 0.500 0.405 0.591
As1 As 0.000 0.235 0.493
O1 O 0.500 0.358 0.917
```



No. 7
Below is a relaxed HfCo crystal, with properties calculated at the PBE level.

Output
The formation energy comes out at -3.5 kJ per mole of atoms.

CIF file:
```
data_HfCo
_chemical_formula_sum 'Hf3 Co3'
_symmetry_space_group_name_H-M 'R -3 m'
_symmetry_Int_Tables_number 166
_symmetry_space_group_name_Hall '-R 3 2"'
_cell_length_a 3.1330
_cell_length_b 3.1330
_cell_length_c 11.3279
_cell_angle_alpha 90.00
_cell_angle_beta 90.00
_cell_angle_gamma 120.00
loop_
_atom_site_label
_atom_site_type_symbol
_atom_site_fract_x
_atom_site_fract_y
_atom_site_fract_z
Hf1 Hf 0.0000 0.0000 0.0000
Co1 Co 0.0000 0.0000 0.5000
```



No. 8
Below is a relaxed ErGaO3 crystal, with properties calculated at the PBE level.

Output
The value obtained for the calculated total energy is -35.3 eV/cell.

CIF file:
```
data_ErGaO3
_chemical_formula_sum 'Er1 Ga1 O3'
_symmetry_space_group_name_H-M 'P 4 m m'
_symmetry_Int_Tables_number 99
_cell_length_a 3.606
_cell_length_b 3.606
_cell_length_c 4.657
_cell_angle_alpha 90.00
_cell_angle_beta 90.00
_cell_angle_gamma 90.00
loop_
_symmetry_equiv_pos_as_xyz
'x,y,z'
'-y,x,z'
'-x,-y,z'
'y,-x,z'
'-x,y,z'
'y,x,z'
'x,-y,z'
'-y,-x,z'
loop_
_atom_site_label
_atom_site_type_symbol
_atom_site_fract_x
_atom_site_fract_y
_atom_site_fract_z
Er1 Er 0.000 0.000 0.000
Ga1 Ga 0.500 0.500 0.572
O1 O 0.000 0.500 0.717
O2 O 0.500 0.500 0.177
```